No. 1
A relaxed structure of Nb8MoS2, computed with PBE.

## Properties
- E (eV per atom) = -8.90
- D(E_F) (states/eV per cell) = 9.5
- uncorrected formation energy (eV/atom) = 0.16

Cell: 4.8320 6.8960 6.8960 Å, 68.93 90.69 90.69°
Positions (direct):
Nb: 0.2571 0.3847 0.7974
Nb: 0.7429 0.2026 0.6153
Nb: 0.2099 0.7954 0.7954
Nb: 0.7901 0.2046 0.2046
Nb: 0.2571 0.7974 0.3847
Nb: 0.7429 0.6153 0.2026
Nb: 0.7520 0.6098 0.6098
Nb: 0.2480 0.3902 0.3902
Mo: 0.0000 0.0000 0.0000
S: 0.6981 0.8297 0.8297
S: 0.3019 0.1703 0.1703


No. 2
A relaxed structure of Hf2ThZn, computed with PBE.

## Properties
- excess energy over the best structure of this formula in the dataset (eV/f.u.) = 0.34
- E (eV per atom) = -7.06
- D(E_F) (states/eV per cell) = 4.2
- calculated formation energy (meV/atom) = 88

Cell: 3.2976 3.2976 10.0034 Å, 80.51 80.51 60.02°
Positions (direct):
Hf: 0.0734 0.0734 0.7800
Hf: 0.2601 0.2601 0.2195
Th: 0.4999 0.4999 0.5002
Zn: 0.6666 0.6666 0.0003


No. 3
A relaxed structure of CrRh3, computed with PBE.

## Properties
- E (eV per atom) = -7.91
- D(E_F) (states/eV per cell) = 6.4
- calculated formation energy (meV/atom) = 10

Cell: 8.8005 8.8005 8.8005 Å, 17.63 17.63 17.63°
Each line ends with the local moment (μB).
Positions (direct):
Cr: 0.0000 0.0000 0.0000  -0.03
Rh: 0.2548 0.2548 0.2548  0.04
Rh: 0.5000 0.5000 0.5000  0.31
Rh: 0.7452 0.7452 0.7452  0.04


No. 4
A relaxed structure of Cs3RbSe6, computed with PBE.

## Properties
- E (eV per atom) = -3.19
- D(E_F) (states/eV per cell) = 5.2
- uncorrected formation energy (eV/atom) = -0.75

Cell: 9.3748 9.3748 9.3748 Å, 99.83 99.83 99.83°
Positions (direct):
Cs: 0.1898 0.7500 0.3102
Cs: 0.3102 0.1898 0.7500
Cs: 0.2500 0.6898 0.8102
Cs: 0.7500 0.3102 0.1898
Cs: 0.6898 0.8102 0.2500
Cs: 0.8102 0.2500 0.6898
Rb: 0.0000 0.0000 0.0000
Rb: 0.5000 0.5000 0.5000
Se: 0.9029 0.5747 0.9887
Se: 0.0113 0.0971 0.4253
Se: 0.0747 0.4029 0.4887
Se: 0.4253 0.0113 0.0971
Se: 0.4029 0.4887 0.0747
Se: 0.5113 0.9253 0.5971
Se: 0.4887 0.0747 0.4029
Se: 0.5971 0.5113 0.9253
Se: 0.5747 0.9887 0.9029
Se: 0.9253 0.5971 0.5113
Se: 0.9887 0.9029 0.5747
Se: 0.0971 0.4253 0.0113